(1)
Here is TaCd2Sb after structural relaxation from Alexandria. Energies are from GGA-PBE.

abc: 3.061 3.061 9.785
angles: 90.00 90.00 90.00
Fractional coordinates of all 4 atoms:
Ta 0.500 0.500 0.762
Cd 0.500 0.500 0.218
Cd 0.000 0.000 0.978
Sb 0.000 0.000 0.542

Computed properties:
formation energy (no corrections) = 0.2153 eV per atom
crystal system = tetragonal

(2)
Here is K2CrP after structural relaxation from Alexandria. Energies are from GGA-PBE.

abc: 6.164 6.164 6.164
angles: 137.33 122.51 74.18
Last column: magnetic moment on the atom in μB.
Fractional coordinates of all 4 atoms:
K 0.717 0.217 0.500  0.02
K 0.038 0.038 0.000  0.03
Cr 0.342 0.842 0.500  3.76
P 0.404 0.404 0.000  -0.11

Computed properties:
energy of formation = 0.07 eV/atom
crystal system = orthorhombic

(3)
Here is In3SnHg7 after structural relaxation from Alexandria. Energies are from GGA-PBE.

abc: 7.232 6.930 6.930
angles: 120.00 90.00 90.00
Fractional coordinates of all 11 atoms:
Hg 0.151 0.667 0.333
Hg 0.474 0.847 0.693
Hg 0.096 0.152 0.848
Hg 0.096 0.152 0.303
Hg 0.474 0.847 0.153
Hg 0.474 0.307 0.153
Hg 0.096 0.697 0.848
In 0.783 0.004 0.502
In 0.783 0.498 0.996
In 0.783 0.498 0.502
Sn 0.405 0.333 0.667

Computed properties:
energy of formation = 0.03 eV/atom
crystal system = trigonal

(4)
Here is Tb4Pm2HoTm after structural relaxation from Alexandria. Energies are from GGA-PBE.

abc: 9.509 9.509 11.805
angles: 128.37 128.37 88.46
Last column: magnetic moment on the atom in μB.
Fractional coordinates of all 16 atoms:
Tb 0.753 0.749 0.997  0.28
Tb 0.747 0.256 0.501  0.27
Tb 0.751 0.747 0.503  0.28
Tb 0.253 0.744 0.499  0.27
Tb 0.249 0.253 0.497  0.28
Tb 0.756 0.247 0.001  0.27
Tb 0.244 0.753 0.999  0.27
Tb 0.247 0.251 0.003  0.28
Tm 0.000 0.000 0.000  0.26
Tm 0.500 0.500 0.500  0.26
Pm 0.000 0.000 0.500  0.22
Pm 0.500 0.000 0.000  0.26
Pm 0.500 0.500 0.000  0.22
Pm 0.500 0.000 0.500  0.26
Ho 0.000 0.500 0.500  0.26
Ho 0.000 0.500 0.000  0.26

Computed properties:
energy of formation = 0.42 eV/atom
crystal system = orthorhombic

(5)
Here is KSrTi2N after structural relaxation from Alexandria. Energies are from GGA-PBE.

abc: 4.266 5.858 4.266
angles: 90.00 90.00 90.00
Last column: magnetic moment on the atom in μB.
Fractional coordinates of all 5 atoms:
K 0.500 0.500 0.500  0.00
Sr 0.000 0.500 0.000  0.01
Ti 0.500 0.000 0.000  0.66
Ti 0.000 0.000 0.500  0.57
N 0.000 0.000 0.000  -0.05

Computed properties:
formation energy (no corrections) = 0.1700 eV per atom
crystal system = tetragonal